[1]
# LaP2BrO

LaP2BrO after structural relaxation (PBE, the Alexandria database).

a b c (Å): 4.878 4.878 4.266
angles (deg): 90.00 90.00 90.00
Fractional positions:
P1 0.000 0.500 0.000
P2 0.500 0.000 0.000
O1 0.000 0.000 0.500
Br1 0.000 0.000 0.000
La1 0.500 0.500 0.500

Output
Raw formation energy: 0.01 eV/atom
Crystal system: tetragonal

=====

[2]
# KReSiGe2

KReSiGe2 after structural relaxation (PBE, the Alexandria database).

a b c (Å): 4.927 4.782 4.927
angles (deg): 90.00 90.00 90.00
Fractional positions:
Re1 0.000 0.000 0.000
Ge1 0.000 0.000 0.500
Ge2 0.500 0.000 0.000
Si1 0.000 0.500 0.000
K1 0.500 0.500 0.500

Output
Raw formation energy: 0.22 eV/atom
Crystal system: tetragonal

=====

Calculated total energy values, unit eV/cell, following the record order: -22.3, -27.1.